1.
This record from Alexandria describes a relaxed ZnInRu crystal. The functional is PBE.

Unit cell a=4.3543 b=4.3543 c=4.3543 alpha=60.00 beta=60.00 gamma=60.00
Closest atoms and distances in Å follow each position.
Positions (direct):
Zn 0.0000 0.0000 0.0000  4 Ru 2.67
In 0.5000 0.5000 0.5000  4 Ru 2.67
Ru 0.2500 0.2500 0.2500  4 In 2.67, 4 Zn 2.67

2.
This record from Alexandria describes a relaxed ZnInRu2 crystal. The functional is PBE.

Unit cell a=2.8474 b=2.8474 c=8.6515 alpha=90.00 beta=90.00 gamma=115.05
Closest atoms and distances in Å follow each position.
Positions (direct):
Zn 0.0000 0.0000 0.0000  4 Ru 2.58, 4 Zn 2.85
In 0.0000 0.0000 0.5000  4 Ru 2.72, 4 In 2.85
Ru 0.5000 0.5000 0.2398  2 Zn 2.58, 2 In 2.72, 4 Ru 2.85
Ru 0.5000 0.5000 0.7602  2 Zn 2.58, 2 In 2.72, 4 Ru 2.85

3.
This record from Alexandria describes a relaxed ZnInRu2 crystal. The functional is PBE.

Unit cell a=5.3325 b=5.3325 c=5.3325 alpha=146.52 beta=130.62 gamma=60.98
Closest atoms and distances in Å follow each position.
Positions (direct):
Zn 0.0000 0.0000 0.0000  6 Ru 2.68-2.72, 2 In 2.88
In 0.2652 0.7652 0.5000  6 Ru 2.71-2.84, 2 Zn 2.88
Ru 0.5256 0.5256 0.0000  2 Ru 2.65, 4 Zn 2.72, 2 In 2.84
Ru 0.7609 0.2609 0.5000  2 Ru 2.65, 2 Zn 2.68, 4 In 2.71

Values for formation energy from the elements, eV/atom, ordered as above
0.249 0.312 0.176
Values for density of states at the Fermi level, states/eV/f.u., ordered as above
1.7 3.2 4.1